Arrangement i

Density functional theory data (GGA-PBE) for a geometry-optimized Tb3Dy7Sc structure.

Unit cell a=8.5246 b=6.9842 c=6.9842 alpha=120.00 beta=90.00 gamma=90.00
Last column: nearest neighbours and their distance in Å.
Positions (direct):
1 Dy 0.1201 0.6667 0.3333  9 Dy 3.45-3.49, 3 Tb 3.53
2 Dy 0.4490 0.8322 0.6643  7 Dy 3.45-3.52, 2 Tb 3.47, 2 Sc 3.49
3 Dy 0.1202 0.1684 0.3367  1 Sc 3.41, 8 Dy 3.46-3.53, 2 Tb 3.52
4 Dy 0.4490 0.3357 0.1678  7 Dy 3.45-3.52, 2 Tb 3.47, 2 Sc 3.49
5 Dy 0.1202 0.1684 0.8316  1 Sc 3.41, 8 Dy 3.46-3.53, 2 Tb 3.52
6 Dy 0.1202 0.6633 0.8316  1 Sc 3.41, 8 Dy 3.46-3.53, 2 Tb 3.52
7 Dy 0.4490 0.8322 0.1678  7 Dy 3.45-3.52, 2 Tb 3.47, 2 Sc 3.49
8 Sc 0.4452 0.3333 0.6667  9 Dy 3.41-3.49, 3 Tb 3.49
9 Tb 0.7807 0.0017 0.5009  5 Dy 3.47-3.53, 4 Tb 3.47-3.51, 1 Sc 3.49
10 Tb 0.7807 0.4991 0.9983  5 Dy 3.47-3.53, 4 Tb 3.47-3.51, 1 Sc 3.49
11 Tb 0.7807 0.4991 0.5009  5 Dy 3.47-3.53, 4 Tb 3.47-3.51, 1 Sc 3.49

Values from the calculation:
Symmetry   P3m1, No. 156
Crystal system   trigonal

Arrangement ii

Density functional theory data (GGA-PBE) for a geometry-optimized Tb3Dy7Sc structure.

Unit cell a=9.7400 b=9.7400 c=13.0517 alpha=79.25 beta=79.25 gamma=138.52
Last column: nearest neighbours and their distance in Å.
Positions (direct):
1 Dy 0.9156 0.0868 0.2497  3 Dy 3.12-3.37, 2 Tb 3.45-3.46
2 Dy 0.8797 0.5600 0.0282  4 Dy 3.34-3.53, 1 Sc 3.39, 3 Tb 3.41-3.43
3 Dy 0.8804 0.5609 0.5276  4 Dy 3.34-3.53, 1 Sc 3.39, 3 Tb 3.40-3.43
4 Dy 0.0868 0.9156 0.2497  3 Dy 3.12-3.37, 2 Tb 3.45-3.46
5 Dy 0.4391 0.1196 0.4724  4 Dy 3.34-3.53, 1 Sc 3.39, 3 Tb 3.40-3.43
6 Dy 0.1196 0.4391 0.4724  4 Dy 3.34-3.53, 1 Sc 3.39, 3 Tb 3.40-3.43
7 Dy 0.9132 0.0844 0.7503  3 Dy 3.12-3.37, 2 Tb 3.45-3.46
8 Dy 0.5609 0.8804 0.5276  4 Dy 3.34-3.53, 1 Sc 3.39, 3 Tb 3.40-3.43
9 Dy 0.0844 0.9132 0.7503  3 Dy 3.12-3.37, 2 Tb 3.45-3.46
10 Dy 0.4994 0.4994 0.7499  2 Sc 3.26-3.27, 2 Tb 3.27
11 Dy 0.5006 0.5006 0.2501  2 Sc 3.26-3.27, 2 Tb 3.27
12 Dy 0.1203 0.4400 0.9718  4 Dy 3.34-3.53, 1 Sc 3.39, 3 Tb 3.41-3.43
13 Dy 0.4400 0.1203 0.9718  4 Dy 3.34-3.53, 1 Sc 3.39, 3 Tb 3.41-3.43
14 Dy 0.5600 0.8797 0.0282  4 Dy 3.34-3.53, 1 Sc 3.39, 3 Tb 3.41-3.43
15 Tb 0.4997 0.0003 0.7497  6 Dy 3.42-3.46, 2 Tb 3.45
16 Tb 0.0000 0.0000 0.5000  10 Dy 3.27-3.62, 2 Sc 3.45
17 Tb 0.9997 0.5003 0.2503  6 Dy 3.42-3.46, 2 Tb 3.45
18 Tb 0.0003 0.4997 0.7497  6 Dy 3.42-3.46, 2 Tb 3.45
19 Tb 0.5003 0.9997 0.2503  6 Dy 3.42-3.46, 2 Tb 3.45
20 Tb 0.0000 0.0000 0.0000  10 Dy 3.27-3.62, 2 Sc 3.45
21 Sc 0.5000 0.5000 0.5000  10 Dy 3.26-3.63, 2 Tb 3.45
22 Sc 0.5000 0.5000 0.0000  10 Dy 3.27-3.62, 2 Tb 3.45

Values from the calculation:
Symmetry   C2/m, No. 12
Crystal system   monoclinic

Most stable: arrangement ii (next structure +38 meV/atom)